(1)
DFT (PBE-GGA) results for KLiTl2Cl4 after structural relaxation.

a = 8.7553 Å, b = 8.8882 Å, c = 12.3142 Å
α = 90.00°, β = 90.00°, γ = 90.00°
Space group Imma (No. 74)
Inequivalent atoms, fractional coordinates:
1 K 0.2500 0.2500 0.2500
2 Li 0.0000 0.0000 0.0000
3 Tl 0.0000 0.0000 0.5000
4 Tl 0.2500 0.2500 0.7500
5 Cl 0.0000 0.0062 0.2065
6 Cl 0.2350 0.2500 0.0030

Electronic total energy: -3.276 eV/atom
Formation energy from raw total energies: -1.39 eV/atom


(2)
DFT (PBE-GGA) results for Ho4ErMgS8 after structural relaxation.

a = 7.9343 Å, b = 7.9343 Å, c = 19.4236 Å
α = 90.00°, β = 90.00°, γ = 120.00°
Space group R3m (No. 160, hexagonal axes)
Inequivalent atoms, fractional coordinates:
1 Ho 0.0000 0.0000 0.0000
2 Ho 0.1702 0.3405 0.2075
3 Er 0.0000 0.0000 0.3779
4 Mg 0.0000 0.0000 0.7500
5 S 0.0000 0.0000 0.1334
6 S 0.0000 0.0000 0.6211
7 S 0.0113 0.5056 0.1262
8 S 0.1782 0.3564 0.9560

Electronic total energy: -6.026 eV/atom
Formation energy from raw total energies: -1.92 eV/atom


(3)
DFT (PBE-GGA) results for ErSc8Sn2 after structural relaxation.

a = 8.1999 Å, b = 14.3015 Å, c = 5.3624 Å
α = 90.00°, β = 120.26°, γ = 90.00°
Space group C2/m (No. 12)
Inequivalent atoms, fractional coordinates:
1 Er 0.0000 0.0000 0.0000
2 Sc 0.0000 0.2133 0.0000
3 Sc 0.0776 0.5000 0.7917
4 Sc 0.2131 0.1162 0.6465
5 Sn 0.0000 0.3078 0.5000

Electronic total energy: -5.883 eV/atom
Formation energy from the elements: -0.136 eV per atom


(4)
DFT (PBE-GGA) results for Sm2Sn6Pd after structural relaxation.

a = 7.2381 Å, b = 16.2351 Å, c = 4.2100 Å
α = 90.00°, β = 90.00°, γ = 90.00°
Space group Cmmm (No. 65)
Inequivalent atoms, fractional coordinates:
1 Sm 0.0000 0.2070 0.0000
2 Sn 0.1990 0.3523 0.5000
3 Sn 0.2333 0.0000 0.0000
4 Pd 0.0000 0.5000 0.5000

Electronic total energy: -4.708 eV/atom
Formation energy from the elements: -0.414 eV per atom


(5)
DFT (PBE-GGA) results for Y7Br6 after structural relaxation.

a = 6.5121 Å, b = 6.5121 Å, c = 34.4603 Å
α = 90.00°, β = 90.00°, γ = 120.00°
Space group R-3m (No. 166, hexagonal axes)
Inequivalent atoms, fractional coordinates:
1 Y 0.0000 0.0000 0.0000
2 Y 0.0020 0.5010 0.5778
3 Br 0.0000 0.0000 0.1567
4 Br 0.0000 0.0000 0.3108
5 Br 0.0000 0.0000 0.4289

Electronic total energy: -4.837 eV/atom
Formation energy from raw total energies: -0.58 eV/atom


(6)
DFT (PBE-GGA) results for Pm2Nd3Al3 after structural relaxation.

a = 3.7962 Å, b = 5.3166 Å, c = 22.3177 Å
α = 90.00°, β = 90.00°, γ = 90.00°
Space group Immm (No. 71)
Inequivalent atoms, fractional coordinates:
1 Pm 0.0000 0.0000 0.2290
2 Nd 0.0000 0.0000 0.0000
3 Nd 0.0000 0.5000 0.1175
4 Al 0.0000 0.0000 0.5000
5 Al 0.0000 0.5000 0.3829

Electronic total energy: -4.634 eV/atom
Formation energy from the elements: -0.255 eV per atom
Polymorph energy (0 for the lowest one): 0.00 eV/f.u.


(7)
DFT (PBE-GGA) results for Ba2CdI2 after structural relaxation.

a = 6.6809 Å, b = 6.6809 Å, c = 10.9729 Å
α = 90.00°, β = 90.00°, γ = 90.00°
Space group I4/mmm (No. 139)
Inequivalent atoms, fractional coordinates:
1 Ba 0.0000 0.5000 0.2500
2 Cd 0.0000 0.0000 0.0000
3 I 0.0000 0.0000 0.3285

Electronic total energy: -2.433 eV/atom
Formation energy from raw total energies: -0.86 eV/atom
Polymorph energy (0 for the lowest one): 0.42 eV/f.u.


(8)
DFT (PBE-GGA) results for TbThMgAl after structural relaxation.

a = 7.4661 Å, b = 7.4661 Å, c = 7.4661 Å
α = 90.00°, β = 90.00°, γ = 90.00°
Space group F-43m (No. 216)
Inequivalent atoms, fractional coordinates:
1 Tb 0.0000 0.0000 0.0000
2 Th 0.0000 0.0000 0.5000
3 Mg 0.2500 0.2500 0.2500
4 Al 0.2500 0.2500 0.7500

Electronic total energy: -4.507 eV/atom
Formation energy from the elements: -0.160 eV per atom


(9)
DFT (PBE-GGA) results for Ti2NiHPb after structural relaxation.

a = 4.0885 Å, b = 4.0885 Å, c = 4.1010 Å
α = 90.00°, β = 90.00°, γ = 90.00°
Space group P4/mmm (No. 123)
Inequivalent atoms, fractional coordinates:
1 Ti 0.0000 0.5000 0.0000
2 Ni 0.0000 0.0000 0.5000
3 H 0.0000 0.0000 0.0000
4 Pb 0.5000 0.5000 0.5000

Electronic total energy: -5.913 eV/atom


(10)
DFT (PBE-GGA) results for AlI2Cl after structural relaxation.

a = 7.4676 Å, b = 7.4676 Å, c = 7.4676 Å
α = 90.00°, β = 90.00°, γ = 90.00°
Space group Fm-3m (No. 225)
Inequivalent atoms, fractional coordinates:
1 Al 0.0000 0.0000 0.0000
2 I 0.2500 0.2500 0.2500
3 Cl 0.0000 0.0000 0.5000

Electronic total energy: -2.043 eV/atom
Formation energy from raw total energies: 0.13 eV/atom
Polymorph energy (0 for the lowest one): 4.13 eV/f.u.


(11)
DFT (PBE-GGA) results for Cd2CuC after structural relaxation.

a = 5.2211 Å, b = 5.2211 Å, c = 12.4204 Å
α = 90.00°, β = 90.00°, γ = 90.00°
Space group I-42d (No. 122)
Inequivalent atoms, fractional coordinates:
1 Cd 0.1601 0.2500 0.1250
2 Cu 0.0000 0.0000 0.5000
3 C 0.0000 0.0000 0.0000

Electronic total energy: -2.533 eV/atom
Formation energy from the elements: 1.254 eV per atom


(12)
DFT (PBE-GGA) results for SbMoBr2 after structural relaxation.

a = 3.1430 Å, b = 3.1430 Å, c = 10.3565 Å
α = 90.00°, β = 90.00°, γ = 90.00°
Space group P4/mmm (No. 123)
Inequivalent atoms, fractional coordinates:
1 Sb 0.0000 0.0000 0.0000
2 Mo 0.0000 0.0000 0.5000
3 Br 0.5000 0.5000 0.3454

Electronic total energy: -4.230 eV/atom
Formation energy from raw total energies: 0.34 eV/atom
Polymorph energy (0 for the lowest one): 1.78 eV/f.u.


(13)
DFT (PBE-GGA) results for RbNa2Cd3 after structural relaxation.

a = 12.1372 Å, b = 10.8005 Å, c = 6.3839 Å
α = 90.00°, β = 90.00°, γ = 90.00°
Space group Cmcm (No. 63)
Inequivalent atoms, fractional coordinates:
1 Rb 0.0000 0.2014 0.2500
2 Na 0.2253 0.5000 0.0000
3 Cd 0.0000 0.4288 0.7500
4 Cd 0.1892 0.2420 0.7500

Electronic total energy: -1.085 eV/atom
Formation energy from the elements: -0.027 eV per atom
Polymorph energy (0 for the lowest one): 0.12 eV/f.u.


(14)
DFT (PBE-GGA) results for TaCuRh after structural relaxation.

a = 4.9479 Å, b = 2.8462 Å, c = 6.6830 Å
α = 90.00°, β = 104.23°, γ = 90.00°
Space group Cm (No. 8)
Inequivalent atoms, fractional coordinates:
1 Ta 0.0000 0.0000 0.0000
2 Cu 0.2195 0.0000 0.6603
3 Rh 0.4426 0.0000 0.3324

Electronic total energy: -7.827 eV/atom
Formation energy from the elements: -0.061 eV per atom
Polymorph energy (0 for the lowest one): 0.76 eV/f.u.


(15)
DFT (PBE-GGA) results for Ba12MgAg6 after structural relaxation.

a = 16.9367 Å, b = 16.9367 Å, c = 10.8020 Å
α = 90.00°, β = 90.00°, γ = 120.00°
Space group R-3 (No. 148, hexagonal axes)
Inequivalent atoms, fractional coordinates:
1 Ba 0.0416 0.2558 0.4306
2 Ba 0.0564 0.1765 0.8306
3 Mg 0.0000 0.0000 0.5000
4 Ag 0.0754 0.4940 0.7876

Electronic total energy: -2.296 eV/atom
Formation energy from the elements: -0.097 eV per atom
Polymorph energy (0 for the lowest one): 1.12 eV/f.u.


(16)
DFT (PBE-GGA) results for Tm2Sc2Tl3 after structural relaxation.

a = 3.4584 Å, b = 7.7427 Å, c = 7.7592 Å
α = 68.43°, β = 77.19°, γ = 89.87°
Space group P-1 (No. 2)
Inequivalent atoms, fractional coordinates:
1 Tm 0.1311 0.3252 0.2364
2 Sc 0.4273 0.0848 0.6471
3 Tl 0.2130 0.7902 0.0717
4 Tl 0.5000 0.5000 0.5000

Electronic total energy: -4.234 eV/atom
Formation energy from the elements: -0.133 eV per atom
Polymorph energy (0 for the lowest one): 0.05 eV/f.u.


(17)
DFT (PBE-GGA) results for Tm2SiAu after structural relaxation.

a = 3.5091 Å, b = 3.5091 Å, c = 7.0540 Å
α = 90.00°, β = 90.00°, γ = 90.00°
Space group P4/mmm (No. 123)
Inequivalent atoms, fractional coordinates:
1 Tm 0.0000 0.0000 0.2430
2 Si 0.5000 0.5000 0.0000
3 Au 0.5000 0.5000 0.5000

Electronic total energy: -5.108 eV/atom
Formation energy from raw total energies: -0.70 eV/atom


(18)
DFT (PBE-GGA) results for Y3Mg4Pd4 after structural relaxation.

a = 3.9767 Å, b = 8.0482 Å, c = 14.7221 Å
α = 90.00°, β = 90.00°, γ = 90.00°
Space group Immm (No. 71)
Inequivalent atoms, fractional coordinates:
1 Y 0.0000 0.0000 0.0000
2 Y 0.0000 0.5000 0.1160
3 Mg 0.0000 0.3079 0.3279
4 Pd 0.0000 0.0000 0.2326
5 Pd 0.0000 0.1914 0.5000

Electronic total energy: -4.885 eV/atom
Formation energy from the elements: -0.654 eV per atom


(19)
DFT (PBE-GGA) results for DyGa2Co2Ge after structural relaxation.

a = 4.3392 Å, b = 4.3392 Å, c = 5.5238 Å
α = 90.00°, β = 90.00°, γ = 90.00°
Space group P4/mmm (No. 123)
Inequivalent atoms, fractional coordinates:
1 Dy 0.0000 0.0000 0.0000
2 Ga 0.5000 0.5000 0.2398
3 Co 0.0000 0.5000 0.5000
4 Ge 0.0000 0.0000 0.5000

Electronic total energy: -5.117 eV/atom
Formation energy from the elements: -0.203 eV per atom


(20)
DFT (PBE-GGA) results for BeAgSe2 after structural relaxation.

a = 4.1717 Å, b = 3.6500 Å, c = 5.5763 Å
α = 90.00°, β = 94.87°, γ = 90.00°
Space group Pm (No. 6)
Inequivalent atoms, fractional coordinates:
1 Be 0.0000 0.0000 0.0000
2 Ag 0.7273 0.5000 0.3684
3 Se 0.2315 0.0000 0.3598
4 Se 0.7771 0.5000 0.8621

Electronic total energy: -3.625 eV/atom
Formation energy from raw total energies: -0.24 eV/atom


(21)
DFT (PBE-GGA) results for Tb2Tm7Sc2 after structural relaxation.

a = 6.5519 Å, b = 6.6261 Å, c = 8.7931 Å
α = 86.41°, β = 74.09°, γ = 64.30°
Space group P-1 (No. 2)
Inequivalent atoms, fractional coordinates:
1 Tb 0.0062 0.2429 0.0497
2 Tm 0.0000 0.0000 0.5000
3 Tm 0.1422 0.5210 0.3018
4 Tm 0.3816 0.4290 0.6406
5 Tm 0.3933 0.9452 0.7027
6 Sc 0.4602 0.7554 0.0524

Electronic total energy: -4.673 eV/atom
Formation energy from the elements: 0.166 eV per atom
Polymorph energy (0 for the lowest one): 0.58 eV/f.u.


(22)
DFT (PBE-GGA) results for Fe2CoAg after structural relaxation.

a = 2.6780 Å, b = 2.6780 Å, c = 25.6474 Å
α = 90.00°, β = 90.00°, γ = 120.00°
Space group R3m (No. 160, hexagonal axes)
Inequivalent atoms, fractional coordinates:
1 Fe 0.0000 0.0000 0.0000
2 Fe 0.0000 0.0000 0.2555
3 Co 0.0000 0.0000 0.7390
4 Ag 0.0000 0.0000 0.4968

Electronic total energy: -6.454 eV/atom
Formation energy from the elements: 0.267 eV per atom
Polymorph energy (0 for the lowest one): 0.25 eV/f.u.


(23)
DFT (PBE-GGA) results for LaTc3Pd after structural relaxation.

a = 4.6988 Å, b = 4.6988 Å, c = 4.6988 Å
α = 90.00°, β = 90.00°, γ = 90.00°
Space group Pm-3m (No. 221)
Inequivalent atoms, fractional coordinates:
1 La 0.0000 0.0000 0.0000
2 Tc 0.0000 0.0000 0.5000
3 Pd 0.5000 0.5000 0.5000

Electronic total energy: -6.119 eV/atom
Formation energy from the elements: 2.125 eV per atom
Polymorph energy (0 for the lowest one): 3.67 eV/f.u.


(24)
DFT (PBE-GGA) results for NaPuTcN3 after structural relaxation.

a = 13.1885 Å, b = 3.8263 Å, c = 6.8164 Å
α = 90.00°, β = 104.74°, γ = 90.00°
Space group C2/m (No. 12)
Inequivalent atoms, fractional coordinates:
1 Na 0.1448 0.0000 0.0739
2 Pu 0.1610 0.0000 0.5966
3 Tc 0.0031 0.5000 0.3217
4 N 0.0052 0.0000 0.2913
5 N 0.1561 0.5000 0.7876
6 N 0.1675 0.5000 0.3847

Electronic total energy: -8.996 eV/atom
Formation energy from raw total energies: -0.50 eV/atom